<A>
Here is a relaxed structure of Nd5Pb3 from Alexandria. Energies are from PBE.

```
16
Lattice="-4.2597 4.2597 7.1710 4.2597 -4.2597 7.1710 4.2597 4.2597 -7.1710" Properties=species:S:1:pos:R:3 pbc="T T T"
Nd 0.0000 0.0000 0.0000
Nd 5.6211 1.3614 -2.1591
Nd 1.3614 2.8983 -2.1591
Nd 5.6211 1.3614 2.1591
Nd 1.3614 2.8983 2.1591
Nd 0.0000 0.0000 7.1710
Nd 2.8983 1.3614 5.0119
Nd -1.3614 2.8983 5.0119
Nd 2.8983 1.3614 9.3301
Nd -1.3614 2.8983 9.3301
Pb 3.0590 1.2007 0.0000
Pb 0.0000 0.0000 3.5855
Pb 3.0590 -1.2007 7.1710
Pb 1.2007 5.4604 0.0000
Pb 0.0000 0.0000 10.7565
Pb 1.2007 3.0590 7.1710
```

Calculated values
Magnetic moment = 0.230 μB/atom
DOS at the Fermi energy = 17.41 states/eV/cell

<B>
Here is a relaxed structure of Nd5Pb3 from Alexandria. Energies are from PBE.

```
16
Lattice="9.4029 0.0000 0.0000 -4.7014 8.1431 0.0000 0.0000 0.0000 6.8958" Properties=species:S:1:pos:R:3 pbc="T T T"
Nd -1.1254 1.9493 1.7240
Nd -3.5760 6.1939 5.1719
Nd 2.2508 0.0000 1.7240
Nd 1.1254 1.9493 5.1719
Nd 0.0000 5.4288 0.0000
Nd 0.0000 5.4288 3.4479
Nd 4.7015 2.7144 0.0000
Nd 4.7015 2.7144 3.4479
Nd 7.1521 0.0000 5.1719
Nd 3.5760 6.1939 1.7240
Pb -1.8523 3.2083 5.1719
Pb -2.8492 4.9349 1.7240
Pb 3.7046 0.0000 5.1719
Pb 1.8523 3.2083 1.7240
Pb 5.6983 0.0000 1.7240
Pb 2.8492 4.9349 5.1719
```

Calculated values
Magnetic moment = 0.000 μB/atom
DOS at the Fermi energy = 16.26 states/eV/cell

<B> is favored, and the nearest alternative lies 50 meV per atom above it.

<A>
Here is a relaxed structure of Nd4Pb from Alexandria. Energies are from PBE.

```
10
Lattice="-2.7283 3.4713 8.4133 2.7283 -3.4713 8.4133 2.7283 3.4713 -8.4133" Properties=species:S:1:pos:R:3 pbc="T T T"
Nd 0.0000 0.0000 0.0000
Nd 2.7283 1.7356 -1.7052
Nd 0.0000 0.0701 3.3616
Nd 2.7283 0.0701 5.0517
Nd 0.0000 3.4713 0.0000
Nd 0.0000 3.4012 3.3616
Nd 2.7283 3.4012 5.0517
Nd 0.0000 1.7356 10.1186
Pb 2.7283 1.7356 1.8312
Pb 0.0000 1.7356 6.5822
```

Calculated values
Magnetic moment = 0.000 μB/atom
DOS at the Fermi energy = 12.64 states/eV/cell

<B>
Here is a relaxed structure of Nd4Pb from Alexandria. Energies are from PBE.

```
5
Lattice="6.0070 0.0000 0.0000 0.0000 6.0070 0.0000 0.0000 0.0000 6.0070" Properties=species:S:1:pos:R:3 pbc="T T T"
Nd 0.0000 0.0000 0.0000
Nd 0.0000 3.0035 3.0035
Nd 3.0035 0.0000 3.0035
Nd 3.0035 3.0035 0.0000
Pb 3.0035 3.0035 3.0035
```

Calculated values
Magnetic moment = 0.343 μB/atom
DOS at the Fermi energy = 11.41 states/eV/cell

<A> is favored, and the nearest alternative lies 497 meV per atom above it.

<A>
Here is a relaxed structure of Nd4Pb3 from Alexandria. Energies are from PBE.

```
14
Lattice="-4.8590 4.8590 4.8590 4.8590 -4.8590 4.8590 4.8590 4.8590 -4.8590" Properties=species:S:1:pos:R:3 pbc="T T T"
Nd 3.1005 1.7584 -1.7584
Nd 5.5300 -0.6710 0.6710
Nd 1.7584 -1.7584 3.1005
Nd 1.7584 1.7584 1.7584
Nd -1.7584 3.1005 1.7584
Nd 0.6710 5.5300 -0.6710
Nd -0.6710 0.6710 5.5300
Nd 4.1879 4.1879 4.1879
Pb 4.8590 -2.4295 3.6442
Pb 3.6442 4.8590 -2.4295
Pb 4.8590 2.4295 1.2147
Pb 2.4295 1.2147 4.8590
Pb 1.2147 4.8590 2.4295
Pb -2.4295 3.6442 4.8590
```

Calculated values
Magnetic moment = 0.000 μB/atom
DOS at the Fermi energy = 1.71 states/eV/cell

<B>
Here is a relaxed structure of Nd4Pb3 from Alexandria. Energies are from PBE.

```
14
Lattice="6.8558 3.9582 2.7967 -6.8558 3.9582 2.7967 0.0000 -7.9163 2.7967" Properties=species:S:1:pos:R:3 pbc="T T T"
Nd 0.0000 0.0000 0.0000
Nd -3.5426 0.9601 3.0356
Nd 0.9398 -3.5481 3.0356
Nd -2.6028 -2.5879 5.3544
Nd 0.0000 0.0000 4.1950
Nd 2.6028 2.5879 3.0356
Nd -0.9398 3.5481 5.3544
Nd 3.5426 -0.9601 5.3544
Pb -1.6862 -1.9575 2.1211
Pb -0.8522 2.4391 2.1211
Pb 2.5384 -0.4815 2.1211
Pb -2.5384 0.4815 6.2690
Pb 0.8522 -2.4391 6.2690
Pb 1.6862 1.9575 6.2690
```

Calculated values
Magnetic moment = 0.000 μB/atom
DOS at the Fermi energy = 11.27 states/eV/cell

<A> is favored, and the nearest alternative lies 40 meV per atom above it.

<A>
Here is a relaxed structure of Nd5Pb2 from Alexandria. Energies are from PBE.

```
14
Lattice="2.3778 -20.7732 0.0000 2.3778 20.7732 0.0000 0.0000 0.0000 4.7066" Properties=species:S:1:pos:R:3 pbc="T T T"
Nd 2.3778 19.3673 3.5300
Nd 2.3778 13.4985 1.1767
Nd 2.3778 10.3972 3.5300
Nd 2.3778 4.5977 1.1767
Nd 2.3778 1.5982 3.5300
Nd 2.3778 -1.5982 1.1767
Nd 2.3778 -4.5977 3.5300
Nd 2.3778 -10.3972 1.1767
Nd 2.3778 -13.4985 3.5300
Nd 2.3778 -19.3673 1.1767
Pb 2.3778 16.7564 1.1767
Pb 2.3778 7.8790 1.1767
Pb 2.3778 -7.8790 3.5300
Pb 2.3778 -16.7564 3.5300
```

Calculated values
Magnetic moment = 0.000 μB/atom
DOS at the Fermi energy = 18.09 states/eV/cell

<B>
Here is a relaxed structure of Nd5Pb2 from Alexandria. Energies are from PBE.

```
14
Lattice="8.2614 -3.0103 0.0000 8.2614 3.0103 0.0000 -1.1218 0.0000 9.1008" Properties=species:S:1:pos:R:3 pbc="T T T"
Nd 6.1135 1.7833 0.4208
Nd 3.8457 0.8433 6.2265
Nd 7.4201 1.5694 6.8256
Nd 9.8485 1.7833 4.1296
Nd 4.4066 -0.8433 1.6761
Nd 10.9945 0.8433 7.4247
Nd 5.5526 -1.7833 4.9712
Nd 7.9810 -1.5694 2.2752
Nd 11.5554 -0.8433 2.8743
Nd 9.2876 -1.7833 8.6800
Pb 6.3919 1.2153 3.6641
Pb 9.5701 1.2153 0.8863
Pb 5.8310 -1.2153 8.2145
Pb 9.0092 -1.2153 5.4367
```

Calculated values
Magnetic moment = 0.000 μB/atom
DOS at the Fermi energy = 13.93 states/eV/cell

<A> is favored, and the nearest alternative lies 25 meV per atom above it.

<A>
Here is a relaxed structure of Nd2Pd3Pb from Alexandria. Energies are from PBE.

```
12
Lattice="0.0000 4.5764 8.4859 3.6002 0.0000 8.4859 3.6002 4.5764 0.0000" Properties=species:S:1:pos:R:3 pbc="T T T"
Nd 5.4441 4.5764 8.4859
Nd 1.8001 2.2882 4.2429
Nd 5.4002 6.8646 12.7288
Nd 1.7562 4.5764 8.4859
Pd 3.6002 2.2359 7.1251
Pd 3.6002 4.5764 2.9485
Pd 3.6002 2.2359 9.8466
Pd 3.6002 6.9170 7.1251
Pd 3.6002 4.5764 14.0232
Pd 3.6002 6.9170 9.8466
Pb 3.6002 4.5764 5.7218
Pb 3.6002 4.5764 11.2499
```

Calculated values
Magnetic moment = 0.000 μB/atom
DOS at the Fermi energy = 7.80 states/eV/cell

<B>
Here is a relaxed structure of Nd2Pd3Pb from Alexandria. Energies are from PBE.

```
12
Lattice="4.7193 0.0000 0.0000 -2.3596 4.0870 0.0000 0.0000 0.0000 14.5092" Properties=species:S:1:pos:R:3 pbc="T T T"
Nd 0.0000 0.0000 1.7144
Nd 0.0000 0.0000 5.5402
Nd 0.0000 0.0000 8.9690
Nd 0.0000 0.0000 12.7948
Pd 0.0000 2.7247 0.1409
Pd 0.0000 2.7247 7.1137
Pd 0.0000 2.7247 10.8819
Pd 2.3596 1.3623 3.6273
Pd 2.3596 1.3623 7.3955
Pd 2.3596 1.3623 14.3683
Pb 0.0000 2.7247 3.6273
Pb 2.3596 1.3623 10.8819
```

Calculated values
Magnetic moment = 0.000 μB/atom
DOS at the Fermi energy = 5.41 states/eV/cell

<B> is favored, and the nearest alternative lies 29 meV per atom above it.

<A>
Here is a relaxed structure of Nd4PdPb from Alexandria. Energies are from PBE.

```
12
Lattice="6.3058 0.0000 0.0000 0.0000 7.0594 0.0000 -3.1326 0.0000 8.4334" Properties=species:S:1:pos:R:3 pbc="T T T"
Nd 0.7501 1.7648 0.6559
Nd 0.5248 5.2945 3.1655
Nd -0.5875 3.5490 6.5406
Nd -0.5875 7.0401 6.5406
Nd 3.7607 0.0193 1.8928
Nd 3.7607 3.5104 1.8928
Nd 2.6484 1.7648 5.2679
Nd 2.4231 5.2945 7.7776
Pd 1.8750 5.2945 0.4910
Pd 1.2982 1.7648 7.9425
Pb -0.2812 1.7648 3.7330
Pb 3.4544 5.2945 4.7004
```

Calculated values
Magnetic moment = 0.000 μB/atom
DOS at the Fermi energy = 13.11 states/eV/cell

<B>
Here is a relaxed structure of Nd4PdPb from Alexandria. Energies are from PBE.

```
12
Lattice="4.4892 -7.2789 0.0000 4.4892 7.2789 0.0000 -2.3422 0.0000 5.5277" Properties=species:S:1:pos:R:3 pbc="T T T"
Nd 1.3037 4.4990 5.1267
Nd 0.9994 1.1166 3.5962
Nd 4.1614 4.4990 3.1649
Nd 2.1705 -1.1166 0.8323
Nd 4.4657 1.1166 4.6954
Nd 2.4748 -4.4990 2.3628
Nd 5.6368 -1.1166 1.9316
Nd 5.3325 -4.4990 0.4010
Pd 3.9037 7.2431 1.3819
Pd 2.7326 -7.2431 4.1458
Pb 3.9037 1.7088 1.3819
Pb 2.7326 -1.7088 4.1458
```

Calculated values
Magnetic moment = 0.000 μB/atom
DOS at the Fermi energy = 11.20 states/eV/cell

<A> is favored, and the nearest alternative lies 20 meV per atom above it.

<A>
Here is a relaxed structure of NdPd3Pb3 from Alexandria. Energies are from PBE.

```
14
Lattice="7.4581 0.0000 0.0000 0.0000 7.4581 0.0000 0.0000 0.0000 7.4581" Properties=species:S:1:pos:R:3 pbc="T T T"
Nd 0.0000 0.0000 0.0000
Nd 3.7291 3.7291 3.7291
Pd 0.0000 1.8645 3.7291
Pd 0.0000 5.5936 3.7291
Pd 1.8645 3.7291 0.0000
Pd 3.7291 0.0000 1.8645
Pd 3.7291 0.0000 5.5936
Pd 5.5936 3.7291 0.0000
Pb 0.0000 3.7291 1.8645
Pb 0.0000 3.7291 5.5936
Pb 1.8645 0.0000 3.7291
Pb 3.7291 1.8645 0.0000
Pb 3.7291 5.5936 0.0000
Pb 5.5936 0.0000 3.7291
```

Calculated values
Magnetic moment = 0.000 μB/atom
DOS at the Fermi energy = 10.72 states/eV/cell

<B>
Here is a relaxed structure of NdPd3Pb3 from Alexandria. Energies are from PBE.

```
14
Lattice="4.3245 2.4968 5.5307 -4.3245 2.4968 5.5307 0.0000 -4.9935 5.5307" Properties=species:S:1:pos:R:3 pbc="T T T"
Nd 0.0000 0.0000 2.7350
Nd 0.0000 0.0000 13.8570
Pd -3.2152 -0.0307 7.2463
Pd -1.5810 -2.7998 9.3457
Pd 1.6342 -2.7691 7.2463
Pd -1.6342 2.7691 9.3457
Pd 1.5810 2.7998 7.2463
Pd 3.2152 0.0307 9.3457
Pb -1.1666 -2.1355 6.5748
Pb -2.4327 -0.0574 10.0172
Pb -1.2660 2.0781 6.5748
Pb 1.2660 -2.0781 10.0172
Pb 2.4327 0.0574 6.5748
Pb 1.1666 2.1355 10.0172
```

Calculated values
Magnetic moment = 0.000 μB/atom
DOS at the Fermi energy = 4.17 states/eV/cell

<B> is favored, and the nearest alternative lies 462 meV per atom above it.

<A>
Here is a relaxed structure of Pm2NdPb from Alexandria. Energies are from PBE.

```
4
Lattice="1.8387 1.0616 11.3290 -1.8387 1.0616 11.3290 0.0000 -2.1232 11.3290" Properties=species:S:1:pos:R:3 pbc="T T T"
Pm 0.0000 0.0000 0.0000
Pm 0.0000 0.0000 5.9604
Nd 0.0000 0.0000 25.6412
Pb 0.0000 0.0000 19.9865
```

Calculated values
Magnetic moment = 0.000 μB/atom
DOS at the Fermi energy = 3.27 states/eV/cell

<B>
Here is a relaxed structure of Pm2NdPb from Alexandria. Energies are from PBE.

```
4
Lattice="4.9815 0.0000 0.0000 0.0000 4.9815 0.0000 0.0000 0.0000 4.9635" Properties=species:S:1:pos:R:3 pbc="T T T"
Pm 0.0000 2.4907 0.0000
Pm 2.4907 0.0000 0.0000
Nd 0.0000 0.0000 2.4818
Pb 2.4907 2.4907 2.4818
```

Calculated values
Magnetic moment = 0.000 μB/atom
DOS at the Fermi energy = 4.75 states/eV/cell

<C>
Here is a relaxed structure of Pm2NdPb from Alexandria. Energies are from PBE.

```
4
Lattice="1.7717 1.0229 12.3067 -1.7717 1.0229 12.3067 0.0000 -2.0457 12.3067" Properties=species:S:1:pos:R:3 pbc="T T T"
Pm 0.0000 0.0000 3.4405
Pm 0.0000 0.0000 33.4795
Nd 0.0000 0.0000 0.0000
Pb 0.0000 0.0000 18.4600
```

Calculated values
Magnetic moment = 0.000 μB/atom
DOS at the Fermi energy = 7.12 states/eV/cell

<D>
Here is a relaxed structure of Pm2NdPb from Alexandria. Energies are from PBE.

```
4
Lattice="4.3023 0.0000 0.0000 0.0000 4.3023 0.0000 0.0000 0.0000 6.9050" Properties=species:S:1:pos:R:3 pbc="T T T"
Pm 0.0000 0.0000 1.5857
Pm 0.0000 0.0000 5.3193
Nd 2.1512 2.1512 3.4525
Pb 2.1512 2.1512 0.0000
```

Calculated values
Magnetic moment = 0.000 μB/atom
DOS at the Fermi energy = 4.98 states/eV/cell

<B> is favored, and the nearest alternative lies 95 meV per atom above it.